(1)
DFT (PBE) results for crystalline NdDy4Rh4 at its relaxed geometry.

Summary:
The calculation puts the theoretical density at 9.00 Mg/m³. The calculation puts the formation energy at -5.83 eV per formula unit. Its total moment is 0.0 μB per formula unit.

Cell: 8.8960 8.8960 5.6197 Å, 90.00 90.00 90.00°
Space group P4_2/n (No. 86, origin choice 2)
Symmetry-distinct sites (fractional):
Nd1 0.2500 0.2500 0.2500
Dy1 0.0737 0.6578 0.1651
Rh1 0.0356 0.6218 0.6624

---

(2)
DFT (PBE) results for crystalline Na2In2Pb at its relaxed geometry.

Summary:
The calculation puts the theoretical density at 5.66 Mg/m³. The calculation puts the formation energy at 0.09 eV per formula unit. Its energy above the most stable polymorph in this dataset is 12.3 kJ per mole of atoms. Its total moment is 0.0 μB per formula unit.

Cell: 8.7485 8.7485 3.6994 Å, 90.00 90.00 90.00°
Space group P4/mbm (No. 127)
Symmetry-distinct sites (fractional):
Na1 0.1318 0.3682 0.0000
In1 0.1673 0.6673 0.5000
Pb1 0.0000 0.0000 0.0000

---

(3)
DFT (PBE) results for crystalline Ac2AgAs3Pt4 at its relaxed geometry.

Summary:
The calculation puts the theoretical density at 12.25 Mg/m³. The calculation puts the formation energy at -8.17 eV per formula unit. Its total moment is 0.0 μB per formula unit.

Cell: 4.5101 4.5101 10.4391 Å, 90.00 90.00 90.00°
Space group P-4m2 (No. 115)
Symmetry-distinct sites (fractional):
Ac1 0.0000 0.5000 0.2471
Ag1 0.0000 0.0000 0.5000
As1 0.0000 0.5000 0.8760
As2 0.5000 0.5000 0.5000
Pt1 0.0000 0.0000 0.0000
Pt2 0.0000 0.5000 0.6399
Pt3 0.5000 0.5000 0.0000